1.
Here is crystalline BeV2PtN at its relaxed geometry from the Alexandria database. Energies are from PBE-GGA.

- ΔE_f (raw) (eV per formula unit) = -2.9
- uncorrected energy (eV/atom) = -7.841

Cell: 3.947 3.947 3.643 Å, 90.00 90.00 90.00°
Space group P4/mmm (No. 123)
Unique sites:
Be  0.000  0.000  0.000 x1
V  0.000  0.500  0.500 x2
Pt  0.500  0.500  0.000 x1
N  0.000  0.000  0.500 x1

2.
Here is crystalline LiBeP at its relaxed geometry from the Alexandria database. Energies are from PBE-GGA.

- E_form (meV per atom) = -485
- uncorrected energy (eV/atom) = -4.168

Cell: 3.6047 3.6047 3.9158 Å, 90.00 90.00 120.00°
Space group P-6m2 (No. 187)
Unique sites:
Li  0.0000  0.0000  0.0000 x1
Be  0.6667  0.3333  0.5000 x1
P  0.3333  0.6667  0.5000 x1

3.
Here is crystalline TiTlPbN2 at its relaxed geometry from the Alexandria database. Energies are from PBE-GGA.

- ΔE_f (raw) (eV per formula unit) = 9.4
- uncorrected energy (eV/atom) = -4.248

Cell: 4.340 4.340 5.529 Å, 90.00 90.00 90.00°
Space group P4/mmm (No. 123)
Unique sites:
Ti  0.000  0.000  0.000 x1
Tl  0.000  0.000  0.500 x1
Pb  0.500  0.500  0.000 x1
N  0.000  0.500  0.500 x2

4.
Here is crystalline Sm2In9Pd3 at its relaxed geometry from the Alexandria database. Energies are from PBE-GGA.

- E_form (meV per atom) = -456
- uncorrected energy (eV/atom) = -4.004

Cell: 14.453 8.335 11.529 Å, 90.00 114.80 90.00°
Space group C2/c (No. 15)
Unique sites:
Sm  0.168  0.083  0.252 x8
In  0.000  0.364  0.250 x4
In  0.058  0.075  0.925 x8
In  0.109  0.412  0.066 x8
In  0.110  0.308  0.749 x8
In  0.229  0.413  0.425 x8
Pd  0.083  0.250  0.500 x8
Pd  0.250  0.250  0.000 x4

5.
Here is crystalline Nd2MgAl4Cu3 at its relaxed geometry from the Alexandria database. Energies are from PBE-GGA.

- E_form (meV per atom) = -350
- uncorrected energy (eV/atom) = -4.189

Cell: 4.199 4.199 10.997 Å, 90.00 90.00 90.00°
Space group P-4m2 (No. 115)
Unique sites:
Nd  0.000  0.500  0.235 x2
Mg  0.000  0.000  0.500 x1
Al  0.000  0.000  0.000 x1
Al  0.000  0.500  0.655 x2
Al  0.500  0.500  0.000 x1
Cu  0.000  0.500  0.876 x2
Cu  0.500  0.500  0.500 x1

6.
Here is crystalline BiSbCl6 at its relaxed geometry from the Alexandria database. Energies are from PBE-GGA.

- ΔE_f (raw) (eV per formula unit) = -7.1
- uncorrected energy (eV/atom) = -3.267

Cell: 6.7576 6.7576 18.5895 Å, 90.00 90.00 120.00°
Space group R-3 (No. 148, hexagonal axes)
Unique sites:
Bi  0.0000  0.0000  0.0000 x3
Sb  0.0000  0.0000  0.5000 x3
Cl  0.0050  0.3280  0.5823 x18

7.
Here is crystalline RbMo3Br at its relaxed geometry from the Alexandria database. Energies are from PBE-GGA.

- ΔE_f (raw) (eV per formula unit) = 17.7
- uncorrected energy (eV/atom) = -3.488

Cell: 4.816 4.816 4.816 Å, 90.00 90.00 90.00°
Space group Pm-3m (No. 221)
Unique sites:
Rb  0.000  0.000  0.000 x1
Mo  0.000  0.000  0.500 x3
Br  0.500  0.500  0.500 x1

8.
Here is crystalline KTa4Se8 at its relaxed geometry from the Alexandria database. Energies are from PBE-GGA.

- ΔE_f (raw) (eV per formula unit) = -10.2
- uncorrected energy (eV/atom) = -6.660

Cell: 17.821 3.521 12.540 Å, 90.00 130.65 90.00°
Space group C2/m (No. 12)
Unique sites:
K  0.000  0.000  0.000 x2
Ta  0.154  0.000  0.476 x4
Ta  0.180  0.500  0.866 x4
Se  0.039  0.000  0.744 x4
Se  0.130  0.500  0.599 x4
Se  0.157  0.500  0.321 x4
Se  0.193  0.500  0.084 x4

Copy entry 4 word for word.
Here is crystalline Sm2In9Pd3 at its relaxed geometry from the Alexandria database. Energies are from PBE-GGA.

- E_form (meV per atom) = -456
- uncorrected energy (eV/atom) = -4.004

Cell: 14.453 8.335 11.529 Å, 90.00 114.80 90.00°
Space group C2/c (No. 15)
Unique sites:
Sm  0.168  0.083  0.252 x8
In  0.000  0.364  0.250 x4
In  0.058  0.075  0.925 x8
In  0.109  0.412  0.066 x8
In  0.110  0.308  0.749 x8
In  0.229  0.413  0.425 x8
Pd  0.083  0.250  0.500 x8
Pd  0.250  0.250  0.000 x4